Here is LaUAl2Ga5 after structural relaxation from Alexandria via LeMat-Bulk. Energies are from GGA-PBE.

CIF file:
```
data_LaUAl2Ga5
_space_group_name_H-M_alt 'P 4/m m m'
_space_group_IT_number 123
_space_group_name_Hall '-P 4 2'
_cell_length_a 4.304
_cell_length_b 4.304
_cell_length_c 10.021
_cell_angle_alpha 90.00
_cell_angle_beta 90.00
_cell_angle_gamma 90.00
loop_
_atom_site_label
_atom_site_fract_x
_atom_site_fract_y
_atom_site_fract_z
La1 0.000 0.000 0.000
U1 0.000 0.000 0.500
Al1 0.500 0.500 0.379
Ga1 0.000 0.500 0.234
Ga2 0.500 0.500 0.000
```

Results
Calculated formation energy, kJ per mole of atoms: -21.1
Final energy, eV per atom: -4.534
Total moment, μB per formula unit: 2.59
D(E_F), states/eV per cell: 10.1